# 1
The following is a GGA-PBE calculation of a geometry-optimized Mg3MnGe structure, from the Alexandria database.

Results
Uncorrected energy   -16.09 eV per cell
Total moment   4.01 Bohr magnetons per cell
Calculated volume   25.4 Å³ per atom

```
5
Lattice="5.0271 0.0000 0.0000 0.0000 5.0271 0.0000 0.0000 0.0000 5.0271" Properties=species:S:1:pos:R:3 pbc="T T T"
Ge 0.0000 0.0000 0.0000
Mn 2.5135 2.5135 2.5135
Mg 0.0000 2.5135 0.0000
Mg 0.0000 0.0000 2.5135
Mg 2.5135 0.0000 0.0000
```

***

# 2
The following is a GGA-PBE calculation of a geometry-optimized TiCr2NiAu structure, from the Alexandria database.

Results
Uncorrected energy   -31.66 eV per cell
Total moment   5.43 Bohr magnetons per cell
Calculated volume   18.4 Å³ per atom

```
5
Lattice="4.4069 0.0000 0.0000 0.0000 4.7253 0.0000 0.0000 0.0000 4.4069" Properties=species:S:1:pos:R:3 pbc="T T T"
Ni 0.0000 0.0000 0.0000
Ti 2.2035 2.3627 2.2035
Au 0.0000 2.3627 0.0000
Cr 0.0000 0.0000 2.2035
Cr 2.2035 0.0000 0.0000
```